Record 1
Density functional theory data (PBE) for an optimized crystal structure of Zr2NiRh.

Summary:
energy relative to the elements	-0.320	eV per atom
calculated volume	18.6	A^3/atom
E	-7.88	eV/atom

extended XYZ file:
```
12
Lattice="3.492 0.000 0.000 -1.746 3.024 0.000 0.000 0.000 21.126" Properties=species:S:1:pos:R:3 pbc="T T T"
Zr 0.000 0.000 5.210
Zr 0.000 0.000 15.916
Zr 0.000 2.016 8.874
Zr 0.000 2.016 19.294
Zr 1.746 1.008 1.832
Zr 1.746 1.008 12.252
Ni 0.000 0.000 10.563
Ni 0.000 2.016 3.521
Ni 1.746 1.008 17.605
Rh 0.000 0.000 0.000
Rh 0.000 2.016 14.084
Rh 1.746 1.008 7.042
```


Record 2
Density functional theory data (PBE) for an optimized crystal structure of GaCuPd4.

Summary:
energy relative to the elements	-0.381	eV per atom
calculated volume	14.6	A^3/atom
E	-5.03	eV/atom

extended XYZ file:
```
12
Lattice="4.136 0.000 0.000 0.000 10.289 0.000 0.000 0.000 4.124" Properties=species:S:1:pos:R:3 pbc="T T T"
Ga 0.000 0.000 0.000
Ga 2.068 5.144 0.000
Cu 0.000 5.144 2.062
Cu 2.068 0.000 2.062
Pd 0.000 1.594 2.062
Pd 0.000 3.550 0.000
Pd 0.000 6.738 0.000
Pd 0.000 8.695 2.062
Pd 2.068 1.594 0.000
Pd 2.068 3.550 2.062
Pd 2.068 6.738 2.062
Pd 2.068 8.695 0.000
```


Record 3
Density functional theory data (PBE) for an optimized crystal structure of CrBiC3.

Summary:
energy relative to the elements	1.723	eV per atom
calculated volume	12.3	A^3/atom
E	-6.51	eV/atom

extended XYZ file:
```
5
Lattice="3.949 0.000 0.000 0.000 3.949 0.000 0.000 0.000 3.949" Properties=species:S:1:pos:R:3 pbc="T T T"
Cr 0.000 0.000 0.000
Bi 1.975 1.975 1.975
C 0.000 0.000 1.975
C 0.000 1.975 0.000
C 1.975 0.000 0.000
```


Record 4
Density functional theory data (PBE) for an optimized crystal structure of TbMg5Sc4.

Summary:
energy relative to the elements	-0.045	eV per atom
calculated volume	24.1	A^3/atom
E	-3.84	eV/atom

extended XYZ file:
```
10
Lattice="3.625 0.000 0.000 0.000 3.625 0.000 0.000 0.000 18.337" Properties=species:S:1:pos:R:3 pbc="T T T"
Tb 0.000 0.000 0.000
Mg 1.813 1.813 2.053
Mg 1.813 1.813 5.598
Mg 1.813 1.813 9.169
Mg 1.813 1.813 12.739
Mg 1.813 1.813 16.284
Sc 0.000 0.000 3.813
Sc 0.000 0.000 7.389
Sc 0.000 0.000 10.948
Sc 0.000 0.000 14.525
```


Record 5
Density functional theory data (PBE) for an optimized crystal structure of La2Tb4Tm.

Summary:
energy relative to the elements	0.025	eV per atom
calculated volume	33.1	A^3/atom
E	-4.67	eV/atom

extended XYZ file:
```
14
Lattice="7.212 0.000 0.000 -1.787 7.848 0.000 -0.015 -3.298 8.197" Properties=species:S:1:pos:R:3 pbc="T T T"
La 0.000 0.000 0.000
La -0.012 0.832 3.536
La 3.586 0.818 3.528
La 3.606 5.742 2.328
Tb -0.001 5.742 2.336
Tb 1.791 2.905 1.140
Tb 1.780 3.735 4.733
Tb 1.788 4.539 8.177
Tb 3.582 1.630 7.016
Tb 5.386 -1.245 5.879
Tb 5.409 2.896 1.145
Tb 5.413 3.724 4.725
Tm -0.005 1.631 7.026
Tm 1.791 -1.245 5.882
```


Record 6
Density functional theory data (PBE) for an optimized crystal structure of Y4TePbSe2.

Summary:
calculated volume	27.3	A^3/atom
E	-6.32	eV/atom
ΔE_f (raw)	-1360	meV/atom

extended XYZ file:
```
8
Lattice="7.371 0.000 0.000 0.000 4.244 0.000 -2.445 0.000 6.969" Properties=species:S:1:pos:R:3 pbc="T T T"
Y 1.182 0.000 1.592
Y -0.019 2.122 5.340
Y 4.945 2.122 1.629
Y 3.744 0.000 5.377
Te 2.463 2.122 3.485
Pb -1.222 0.000 3.485
Se 0.000 2.122 0.000
Se 3.685 0.000 0.000
```


Record 7
Density functional theory data (PBE) for an optimized crystal structure of KMgHgTe2.

Summary:
calculated volume	38.7	A^3/atom
E	-2.45	eV/atom
ΔE_f (raw)	-598	meV/atom

extended XYZ file:
```
10
Lattice="3.148 -7.572 0.000 3.148 7.572 0.000 0.000 0.000 8.115" Properties=species:S:1:pos:R:3 pbc="T T T"
K 3.148 3.786 6.512
K 3.148 -3.786 1.603
Mg 1.574 0.000 0.000
Mg 4.722 0.000 0.000
Hg 0.000 0.000 4.058
Hg 3.148 0.000 4.058
Te 3.148 5.818 1.570
Te 3.148 1.754 1.570
Te 3.148 -1.754 6.546
Te 3.148 -5.818 6.546
```


Record 8
Density functional theory data (PBE) for an optimized crystal structure of Np2TiSe5.

Summary:
calculated volume	29.0	A^3/atom
E	-7.43	eV/atom
ΔE_f (raw)	-1032	meV/atom

extended XYZ file:
```
16
Lattice="2.783 -6.519 0.000 2.783 6.519 0.000 0.000 0.000 12.770" Properties=species:S:1:pos:R:3 pbc="T T T"
Np 2.783 4.534 7.225
Np 2.783 4.534 11.930
Np 2.783 -4.534 0.840
Np 2.783 -4.534 5.545
Ti 2.783 3.849 3.192
Ti 2.783 -3.849 9.577
Se 2.783 5.847 1.606
Se 2.783 5.847 4.779
Se 2.783 2.902 9.577
Se 2.783 2.279 1.039
Se 2.783 2.279 5.346
Se 2.783 -2.279 7.424
Se 2.783 -2.279 11.731
Se 2.783 -2.902 3.192
Se 2.783 -5.847 7.991
Se 2.783 -5.847 11.164
```


Record 9
Density functional theory data (PBE) for an optimized crystal structure of PaO2F5.

Summary:
calculated volume	19.4	A^3/atom
E	-6.40	eV/atom
ΔE_f (raw)	-2799	meV/atom

extended XYZ file:
```
16
Lattice="7.722 0.000 0.000 0.000 8.705 0.000 0.000 0.000 4.611" Properties=species:S:1:pos:R:3 pbc="T T T"
Pa 0.000 0.000 0.000
Pa 3.861 4.352 2.306
O 0.000 4.352 0.601
O 0.000 4.352 3.979
O 3.861 0.000 1.674
O 3.861 0.000 2.907
F 0.000 0.000 2.306
F 1.450 1.444 0.001
F 1.450 7.261 0.001
F 2.411 2.908 2.306
F 2.411 5.796 2.306
F 3.861 4.352 4.611
F 5.311 2.908 2.306
F 5.311 5.796 2.306
F 6.272 1.444 0.001
F 6.272 7.261 0.001
```


Record 10
Density functional theory data (PBE) for an optimized crystal structure of Sm4Y5Tl.

Summary:
energy relative to the elements	-0.064	eV per atom
calculated volume	32.1	A^3/atom
E	-5.42	eV/atom

extended XYZ file:
```
10
Lattice="3.620 0.000 0.000 0.000 3.620 0.000 0.000 0.000 24.474" Properties=species:S:1:pos:R:3 pbc="T T T"
Sm 0.000 0.000 2.527
Sm 0.000 0.000 7.618
Sm 0.000 0.000 16.856
Sm 0.000 0.000 21.947
Y 1.810 1.810 0.000
Y 1.810 1.810 5.053
Y 1.810 1.810 10.145
Y 1.810 1.810 14.329
Y 1.810 1.810 19.421
Tl 0.000 0.000 12.237
```


Record 11
Density functional theory data (PBE) for an optimized crystal structure of PmDy2Ga.

Summary:
energy relative to the elements	-0.193	eV per atom
calculated volume	29.2	A^3/atom
E	-4.44	eV/atom

extended XYZ file:
```
12
Lattice="3.624 0.000 0.000 -1.812 3.138 0.000 0.000 0.000 30.833" Properties=species:S:1:pos:R:3 pbc="T T T"
Pm 0.000 0.000 0.000
Pm 0.000 2.092 20.555
Pm 1.812 1.046 10.277
Dy 0.000 0.000 17.566
Dy 0.000 0.000 23.527
Dy 0.000 2.092 7.289
Dy 0.000 2.092 13.250
Dy 1.812 1.046 2.972
Dy 1.812 1.046 27.844
Ga 0.000 0.000 5.118
Ga 0.000 2.092 25.673
Ga 1.812 1.046 15.396
```


Record 12
Density functional theory data (PBE) for an optimized crystal structure of YPaInAg.

Summary:
energy relative to the elements	0.023	eV per atom
calculated volume	25.8	A^3/atom
E	-5.36	eV/atom

extended XYZ file:
```
16
Lattice="7.447 0.000 0.000 0.000 7.447 0.000 0.000 0.000 7.447" Properties=species:S:1:pos:R:3 pbc="T T T"
Y 0.000 0.000 0.000
Y 0.000 3.723 3.723
Y 3.723 0.000 3.723
Y 3.723 3.723 0.000
Pa 0.000 0.000 3.723
Pa 0.000 3.723 0.000
Pa 3.723 0.000 0.000
Pa 3.723 3.723 3.723
In 1.862 1.862 1.862
In 1.862 5.585 5.585
In 5.585 1.862 5.585
In 5.585 5.585 1.862
Ag 1.862 1.862 5.585
Ag 1.862 5.585 1.862
Ag 5.585 1.862 1.862
Ag 5.585 5.585 5.585
```